# HfTiTl2

A relaxed HfTiTl2 crystal (PBE, the Alexandria database).

Computed properties:
The calculation puts the theoretical density at 12404 kg/m³. As for the formation energy: 0.14 eV per atom. Its crystal system is tetragonal. The calculation puts the total energy at -0.4046 Ry per atom. The density of states at the Fermi level comes out at 0.8988 states/eV/atom.

a b c (Å): 4.443 4.443 4.308
angles (deg): 90.00 90.00 90.00
Fractional positions:
Hf  0.000  0.000  0.000
Ti  0.500  0.500  0.000
Tl  0.000  0.500  0.500
Tl  0.500  0.000  0.500

***

# Cs2CaH2F6

A relaxed Cs2CaH2F6 crystal (PBE, the Alexandria database).

Computed properties:
The calculation puts the theoretical density at 3697 kg/m³. Its crystal system is monoclinic. The calculation puts the total energy at -0.3342 Ry per atom. The density of states at the Fermi level comes out at 0.0000 states/eV/atom.

a b c (Å): 5.876 5.876 7.267
angles (deg): 117.47 117.47 64.24
Fractional positions:
Cs  0.232  0.232  0.188
Cs  0.768  0.768  0.812
Ca  0.000  0.000  0.500
H  0.381  0.381  0.734
H  0.619  0.619  0.266
F  0.233  0.727  0.700
F  0.273  0.767  0.300
F  0.291  0.291  0.754
F  0.709  0.709  0.246
F  0.727  0.233  0.700
F  0.767  0.273  0.300

***

# SnHgPdAu

A relaxed SnHgPdAu crystal (PBE, the Alexandria database).

Computed properties:
The calculation puts the theoretical density at 13069 kg/m³. As for the formation energy: -0.11 eV per atom. Its crystal system is cubic. The calculation puts the total energy at -0.2426 Ry per atom. The density of states at the Fermi level comes out at 0.2970 states/eV/atom.

a b c (Å): 4.819 4.819 4.819
angles (deg): 60.00 60.00 60.00
Fractional positions:
Sn  0.000  0.000  0.000
Hg  0.500  0.500  0.500
Pd  0.750  0.750  0.750
Au  0.250  0.250  0.250

***

# CrP2Rh

A relaxed CrP2Rh crystal (PBE, the Alexandria database).

Computed properties:
The calculation puts the theoretical density at 6602 kg/m³. As for the formation energy: 0.26 eV per atom. Its crystal system is cubic. The calculation puts the total energy at -0.4917 Ry per atom. The density of states at the Fermi level comes out at 1.2024 states/eV/atom.

a b c (Å): 4.257 4.257 4.257
angles (deg): 60.00 60.00 60.00
Fractional positions:
Cr  0.000  0.000  0.000
P  0.500  0.500  0.500
P  0.750  0.750  0.750
Rh  0.250  0.250  0.250

***

# Sr2Ca3LaTe6

A relaxed Sr2Ca3LaTe6 crystal (PBE, the Alexandria database).

Computed properties:
The calculation puts the theoretical density at 4820 kg/m³. Its crystal system is monoclinic. The calculation puts the total energy at -0.3241 Ry per atom. The density of states at the Fermi level comes out at 0.2518 states/eV/atom.

a b c (Å): 10.287 10.287 9.223
angles (deg): 102.80 102.80 25.78
Fractional positions:
Sr  0.167  0.167  0.335
Sr  0.833  0.833  0.665
Ca  0.167  0.167  0.833
Ca  0.500  0.500  0.500
Ca  0.833  0.833  0.167
La  0.500  0.500  0.000
Te  0.003  0.003  0.748
Te  0.333  0.333  0.925
Te  0.337  0.337  0.409
Te  0.663  0.663  0.591
Te  0.667  0.667  0.075
Te  0.997  0.997  0.252

***

# Th3Mo5N12

A relaxed Th3Mo5N12 crystal (PBE, the Alexandria database).

Computed properties:
The calculation puts the theoretical density at 8146 kg/m³. Its crystal system is cubic. The calculation puts the total energy at -0.7078 Ry per atom. The density of states at the Fermi level comes out at 0.4714 states/eV/atom.

a b c (Å): 11.249 11.249 11.249
angles (deg): 109.47 109.47 109.47
Fractional positions:
Th  0.125  0.250  0.375
Th  0.125  0.375  0.750
Th  0.250  0.375  0.125
Th  0.250  0.875  0.625
Th  0.375  0.125  0.250
Th  0.375  0.750  0.125
Th  0.625  0.250  0.875
Th  0.625  0.875  0.750
Th  0.750  0.125  0.375
Th  0.750  0.625  0.875
Th  0.875  0.625  0.250
Th  0.875  0.750  0.625
Mo  0.000  0.000  0.000
Mo  0.000  0.000  0.500
Mo  0.000  0.500  0.000
Mo  0.000  0.500  0.500
Mo  0.125  0.750  0.875
Mo  0.125  0.875  0.250
Mo  0.250  0.125  0.875
Mo  0.250  0.625  0.375
Mo  0.375  0.250  0.625
Mo  0.375  0.625  0.750
Mo  0.500  0.000  0.000
Mo  0.500  0.000  0.500
Mo  0.500  0.500  0.000
Mo  0.500  0.500  0.500
Mo  0.625  0.375  0.250
Mo  0.625  0.750  0.375
Mo  0.750  0.375  0.625
Mo  0.750  0.875  0.125
Mo  0.875  0.125  0.750
Mo  0.875  0.250  0.125
N  0.020  0.202  0.120
N  0.020  0.318  0.900
N  0.082  0.702  0.682
N  0.082  0.880  0.400
N  0.100  0.620  0.418
N  0.100  0.980  0.682
N  0.120  0.020  0.202
N  0.120  0.600  0.918
N  0.182  0.202  0.582
N  0.182  0.480  0.600
N  0.202  0.120  0.020
N  0.202  0.582  0.182
N  0.298  0.318  0.918
N  0.298  0.480  0.380
N  0.318  0.900  0.020
N  0.318  0.918  0.298
N  0.380  0.298  0.480
N  0.380  0.582  0.900
N  0.400  0.082  0.880
N  0.400  0.818  0.520
N  0.418  0.100  0.620
N  0.418  0.818  0.798
N  0.480  0.380  0.298
N  0.480  0.600  0.182
N  0.520  0.400  0.818
N  0.520  0.620  0.702
N  0.582  0.182  0.202
N  0.582  0.900  0.380
N  0.600  0.182  0.480
N  0.600  0.918  0.120
N  0.620  0.418  0.100
N  0.620  0.702  0.520
N  0.682  0.082  0.702
N  0.682  0.100  0.980
N  0.702  0.520  0.620
N  0.702  0.682  0.082
N  0.798  0.418  0.818
N  0.798  0.880  0.980
N  0.818  0.520  0.400
N  0.818  0.798  0.418
N  0.880  0.400  0.082
N  0.880  0.980  0.798
N  0.900  0.020  0.318
N  0.900  0.380  0.582
N  0.918  0.120  0.600
N  0.918  0.298  0.318
N  0.980  0.682  0.100
N  0.980  0.798  0.880

***

# Nd2Y5Ho2

A relaxed Nd2Y5Ho2 crystal (PBE, the Alexandria database).

Computed properties:
The calculation puts the theoretical density at 6012 kg/m³. As for the formation energy: 0.02 eV per atom. Its crystal system is monoclinic. The calculation puts the total energy at -0.4151 Ry per atom. The density of states at the Fermi level comes out at 1.3246 states/eV/atom.

a b c (Å): 8.019 8.019 8.023
angles (deg): 107.49 107.49 36.87
Fractional positions:
Nd  0.222  0.222  0.334
Nd  0.778  0.778  0.666
Y  0.000  0.000  0.000
Y  0.110  0.110  0.667
Y  0.334  0.334  0.999
Y  0.666  0.666  0.001
Y  0.890  0.890  0.333
Ho  0.445  0.445  0.667
Ho  0.555  0.555  0.333

***

# Th3UPa2As6

A relaxed Th3UPa2As6 crystal (PBE, the Alexandria database).

Computed properties:
The calculation puts the theoretical density at 9935 kg/m³. As for the formation energy: -1.16 eV per atom. Its crystal system is monoclinic. The calculation puts the total energy at -0.5781 Ry per atom. The density of states at the Fermi level comes out at 1.2650 states/eV/atom.

a b c (Å): 9.347 9.347 8.358
angles (deg): 103.26 103.26 25.76
Fractional positions:
Th  0.000  0.000  0.000
Th  0.333  0.333  0.667
Th  0.667  0.667  0.333
U  0.000  0.000  0.500
Pa  0.334  0.334  0.169
Pa  0.666  0.666  0.831
As  0.164  0.164  0.589
As  0.170  0.170  0.076
As  0.498  0.498  0.257
As  0.502  0.502  0.743
As  0.830  0.830  0.924
As  0.836  0.836  0.411

***

# Rb2NbPtF6

A relaxed Rb2NbPtF6 crystal (PBE, the Alexandria database).

Computed properties:
The calculation puts the theoretical density at 4352 kg/m³. Its crystal system is tetragonal. The calculation puts the total energy at -0.3761 Ry per atom. The density of states at the Fermi level comes out at 1.1239 states/eV/atom.

a b c (Å): 6.591 6.591 6.591
angles (deg): 112.59 112.59 103.40
Fractional positions:
Rb  0.250  0.750  0.500
Rb  0.750  0.250  0.500
Nb  0.000  0.000  0.000
Pt  0.500  0.500  0.000
F  0.193  0.193  0.386
F  0.193  0.807  0.000
F  0.252  0.252  0.000
F  0.748  0.748  0.000
F  0.807  0.193  0.000
F  0.807  0.807  0.614

***

# BeAl2SnRu

A relaxed BeAl2SnRu crystal (PBE, the Alexandria database).

Computed properties:
The calculation puts the theoretical density at 3661 kg/m³. As for the formation energy: 1.63 eV per atom. Its crystal system is tetragonal. The calculation puts the total energy at -0.2405 Ry per atom. The density of states at the Fermi level comes out at 0.9364 states/eV/atom.

a b c (Å): 5.095 5.095 4.940
angles (deg): 90.00 90.00 90.00
Fractional positions:
Be  0.000  0.000  0.000
Al  0.000  0.500  0.500
Al  0.500  0.000  0.500
Sn  0.500  0.500  0.500
Ru  0.500  0.500  0.000

***

# CsH6IN2

A relaxed CsH6IN2 crystal (PBE, the Alexandria database).

Computed properties:
The calculation puts the theoretical density at 2753 kg/m³. Its crystal system is monoclinic. The calculation puts the total energy at -0.3308 Ry per atom. The density of states at the Fermi level comes out at 0.0000 states/eV/atom.

a b c (Å): 7.814 7.814 8.466
angles (deg): 122.74 122.74 62.20
Fractional positions:
Cs  0.250  0.750  0.750
Cs  0.750  0.250  0.250
H  0.079  0.264  0.704
H  0.209  0.290  0.167
H  0.236  0.419  0.859
H  0.264  0.079  0.204
H  0.290  0.209  0.667
H  0.419  0.236  0.359
H  0.581  0.764  0.641
H  0.710  0.791  0.333
H  0.736  0.921  0.796
H  0.764  0.581  0.141
H  0.791  0.710  0.833
H  0.921  0.736  0.296
I  0.250  0.750  0.250
I  0.750  0.250  0.750
N  0.170  0.329  0.707
N  0.329  0.170  0.207
N  0.671  0.830  0.793
N  0.830  0.671  0.293

***

# Cs3Nb2Cl9

A relaxed Cs3Nb2Cl9 crystal (PBE, the Alexandria database).

Computed properties:
The calculation puts the theoretical density at 3271 kg/m³. Its crystal system is hexagonal. The calculation puts the total energy at -0.3260 Ry per atom.

a b c (Å): 7.679 7.679 17.964
angles (deg): 90.00 90.00 120.00
Fractional positions:
Cs  0.000  0.000  0.250
Cs  0.000  0.000  0.750
Cs  0.333  0.667  0.072
Cs  0.333  0.667  0.428
Cs  0.667  0.333  0.572
Cs  0.667  0.333  0.928
Nb  0.333  0.667  0.676
Nb  0.333  0.667  0.824
Nb  0.667  0.333  0.176
Nb  0.667  0.333  0.324
Cl  0.004  0.502  0.750
Cl  0.180  0.360  0.599
Cl  0.180  0.360  0.901
Cl  0.180  0.820  0.599
Cl  0.180  0.820  0.901
Cl  0.360  0.180  0.099
Cl  0.360  0.180  0.401
Cl  0.498  0.502  0.750
Cl  0.498  0.996  0.750
Cl  0.502  0.004  0.250
Cl  0.502  0.498  0.250
Cl  0.640  0.820  0.599
Cl  0.640  0.820  0.901
Cl  0.820  0.180  0.099
Cl  0.820  0.180  0.401
Cl  0.820  0.640  0.099
Cl  0.820  0.640  0.401
Cl  0.996  0.498  0.250

***

# ZnGeS2N

A relaxed ZnGeS2N crystal (PBE, the Alexandria database).

Computed properties:
The calculation puts the theoretical density at 4202 kg/m³. Its crystal system is tetragonal. The calculation puts the total energy at -0.2793 Ry per atom. The density of states at the Fermi level comes out at 0.5781 states/eV/atom.

a b c (Å): 4.851 4.851 3.631
angles (deg): 90.00 90.00 90.00
Fractional positions:
Zn  0.000  0.000  0.000
Ge  0.500  0.500  0.500
S  0.000  0.500  0.500
S  0.500  0.000  0.500
N  0.500  0.500  0.000

***

# LaNb2Os

A relaxed LaNb2Os crystal (PBE, the Alexandria database).

Computed properties:
The calculation puts the theoretical density at 11378 kg/m³. As for the formation energy: 0.20 eV per atom. Its crystal system is cubic. The calculation puts the total energy at -0.6521 Ry per atom. The density of states at the Fermi level comes out at 0.8793 states/eV/atom.

a b c (Å): 4.737 4.737 4.737
angles (deg): 60.00 60.00 60.00
Fractional positions:
La  0.000  0.000  0.000
Nb  0.250  0.250  0.250
Nb  0.750  0.750  0.750
Os  0.500  0.500  0.500

***

# YHRh2

A relaxed YHRh2 crystal (PBE, the Alexandria database).

Computed properties:
The calculation puts the theoretical density at 7934 kg/m³. Its crystal system is cubic. The calculation puts the total energy at -0.4349 Ry per atom. The density of states at the Fermi level comes out at 0.6692 states/eV/atom.

a b c (Å): 4.440 4.440 4.440
angles (deg): 60.00 60.00 60.00
Fractional positions:
Y  0.000  0.000  0.000
H  0.500  0.500  0.500
Rh  0.250  0.250  0.250
Rh  0.750  0.750  0.750

***

# InReTeN2

A relaxed InReTeN2 crystal (PBE, the Alexandria database).

Computed properties:
The calculation puts the theoretical density at 8335 kg/m³. Its crystal system is tetragonal. The calculation puts the total energy at -0.4762 Ry per atom. The density of states at the Fermi level comes out at 0.5152 states/eV/atom.

a b c (Å): 3.988 3.988 5.721
angles (deg): 90.00 90.00 90.00
Fractional positions:
In  0.000  0.000  0.000
Re  0.500  0.500  0.500
Te  0.500  0.500  0.000
N  0.000  0.500  0.500
N  0.500  0.000  0.500

***

# Nd4Ga18Ni

A relaxed Nd4Ga18Ni crystal (PBE, the Alexandria database).

Computed properties:
The calculation puts the theoretical density at 6895 kg/m³. As for the formation energy: -0.42 eV per atom. Its crystal system is tetragonal. The calculation puts the total energy at -0.2845 Ry per atom. The density of states at the Fermi level comes out at 0.2859 states/eV/atom.

a b c (Å): 23.669 23.669 23.669
angles (deg): 169.32 169.32 15.12
Fractional positions:
Nd  0.078  0.078  0.000
Nd  0.307  0.307  0.000
Nd  0.693  0.693  0.000
Nd  0.922  0.922  0.000
Ga  0.027  0.527  0.500
Ga  0.138  0.638  0.500
Ga  0.168  0.168  0.000
Ga  0.221  0.221  0.000
Ga  0.250  0.750  0.500
Ga  0.362  0.862  0.500
Ga  0.391  0.391  0.000
Ga  0.443  0.443  0.000
Ga  0.473  0.973  0.500
Ga  0.527  0.027  0.500
Ga  0.557  0.557  0.000
Ga  0.609  0.609  0.000
Ga  0.638  0.138  0.500
Ga  0.750  0.250  0.500
Ga  0.779  0.779  0.000
Ga  0.832  0.832  0.000
Ga  0.862  0.362  0.500
Ga  0.973  0.473  0.500
Ni  0.000  0.000  0.000

***

# La5SmCu6

A relaxed La5SmCu6 crystal (PBE, the Alexandria database).

Computed properties:
The calculation puts the theoretical density at 7044 kg/m³. As for the formation energy: -0.14 eV per atom. Its crystal system is orthorhombic. The calculation puts the total energy at -0.3406 Ry per atom. The density of states at the Fermi level comes out at 0.8598 states/eV/atom.

a b c (Å): 8.923 8.923 8.923
angles (deg): 146.37 132.16 59.74
Fractional positions:
La  0.000  0.000  0.000
La  0.165  0.665  0.500
La  0.331  0.331  0.000
La  0.669  0.669  0.000
La  0.835  0.335  0.500
Sm  0.500  0.000  0.500
Cu  0.097  0.837  0.259
Cu  0.268  0.500  0.768
Cu  0.422  0.163  0.259
Cu  0.578  0.837  0.741
Cu  0.732  0.500  0.232
Cu  0.903  0.163  0.741

***

# Ac2ErNpSe6

A relaxed Ac2ErNpSe6 crystal (PBE, the Alexandria database).

Computed properties:
The calculation puts the theoretical density at 6760 kg/m³. Its crystal system is trigonal. The calculation puts the total energy at -0.4679 Ry per atom. The density of states at the Fermi level comes out at 0.6617 states/eV/atom.

a b c (Å): 7.887 7.887 7.887
angles (deg): 57.53 57.53 57.53
Fractional positions:
Ac  0.000  0.000  0.000
Ac  0.498  0.498  0.498
Er  0.791  0.791  0.791
Np  0.291  0.291  0.291
Se  0.067  0.431  0.660
Se  0.155  0.923  0.575
Se  0.431  0.660  0.067
Se  0.575  0.155  0.923
Se  0.660  0.067  0.431
Se  0.923  0.575  0.155